[1]
The following is a GGA-PBE calculation of a relaxed structure of SrH8Pd4Pt, from Alexandria via LeMat-Bulk.

The structure in CIF format:
```
data_SrH8Pd4Pt
_space_group_name_H-M_alt 'P 1'
_space_group_IT_number 1
_cell_length_a 5.8336
_cell_length_b 5.8336
_cell_length_c 5.8336
_cell_angle_alpha 60.20
_cell_angle_beta 60.20
_cell_angle_gamma 60.20
loop_
_space_group_symop_operation_xyz
'x,y,z'
loop_
_atom_site_label
_atom_site_fract_x
_atom_site_fract_y
_atom_site_fract_z
Sr1 0.0000 0.0000 0.0000
H1 0.3850 0.3850 0.3850
H2 0.3897 0.3897 0.8546
H3 0.3897 0.8546 0.3897
H4 0.4846 0.8303 0.8303
H5 0.8303 0.4846 0.8303
H6 0.8303 0.8303 0.4846
H7 0.8369 0.8369 0.8369
H8 0.8546 0.3897 0.3897
Pd1 0.1299 0.6232 0.6232
Pd2 0.2508 0.2508 0.2508
Pd3 0.6232 0.1299 0.6232
Pd4 0.6232 0.6232 0.1299
Pt1 0.6224 0.6224 0.6224
```

- total magnetization (μB/atom) = 0.000
- calculated total energy (eV per cell) = -58.1

---

[2]
The following is a GGA-PBE calculation of a relaxed structure of Li2NbTlS4, from Alexandria via LeMat-Bulk.

The structure in CIF format:
```
data_Li2NbTlS4
_space_group_name_H-M_alt 'P 1'
_space_group_IT_number 1
_cell_length_a 6.7126
_cell_length_b 6.7126
_cell_length_c 8.6326
_cell_angle_alpha 90.00
_cell_angle_beta 90.00
_cell_angle_gamma 90.00
loop_
_space_group_symop_operation_xyz
'x,y,z'
loop_
_atom_site_label
_atom_site_fract_x
_atom_site_fract_y
_atom_site_fract_z
Li1 0.0000 0.5000 0.2500
Li2 0.0000 0.5000 0.7500
Li3 0.5000 0.0000 0.2500
Li4 0.5000 0.0000 0.7500
Nb1 0.0000 0.0000 0.0000
Nb2 0.5000 0.5000 0.5000
Tl1 0.0000 0.0000 0.5000
Tl2 0.5000 0.5000 0.0000
S1 0.1961 0.1961 0.1563
S2 0.1961 0.8039 0.8437
S3 0.3039 0.3039 0.6563
S4 0.3039 0.6961 0.3437
S5 0.6961 0.3039 0.3437
S6 0.6961 0.6961 0.6563
S7 0.8039 0.1961 0.8437
S8 0.8039 0.8039 0.1563
```

- total magnetization (μB/atom) = 0.000
- calculated total energy (eV per cell) = -80.9
- E_form (uncorrected) (eV/atom) = -0.96

---

[3]
The following is a GGA-PBE calculation of a relaxed structure of Pa3Se2S, from Alexandria via LeMat-Bulk.

The structure in CIF format:
```
data_Pa3Se2S
_space_group_name_H-M_alt 'P 1'
_space_group_IT_number 1
_cell_length_a 3.7591
_cell_length_b 5.6816
_cell_length_c 12.7722
_cell_angle_alpha 90.00
_cell_angle_beta 90.00
_cell_angle_gamma 90.00
loop_
_space_group_symop_operation_xyz
'x,y,z'
loop_
_atom_site_label
_atom_site_fract_x
_atom_site_fract_y
_atom_site_fract_z
Pa1 0.0000 0.0000 0.0000
Pa2 0.0000 0.0000 0.3458
Pa3 0.0000 0.0000 0.6542
Pa4 0.5000 0.5000 0.1542
Pa5 0.5000 0.5000 0.5000
Pa6 0.5000 0.5000 0.8458
Se1 0.0000 0.5000 0.3275
Se2 0.0000 0.5000 0.6725
Se3 0.5000 0.0000 0.1725
Se4 0.5000 0.0000 0.8275
S1 0.0000 0.5000 0.0000
S2 0.5000 0.0000 0.5000
```

- total magnetization (μB/atom) = 0.001
- calculated total energy (eV per cell) = -95.1
- polymorph energy (0 for the lowest one) (meV per atom) = 2
- E_form (uncorrected) (eV/atom) = -1.33

---

[4]
The following is a GGA-PBE calculation of a relaxed structure of RuSeBr2, from Alexandria via LeMat-Bulk.

The structure in CIF format:
```
data_RuSeBr2
_space_group_name_H-M_alt 'P 1'
_space_group_IT_number 1
_cell_length_a 4.6938
_cell_length_b 3.7921
_cell_length_c 7.3191
_cell_angle_alpha 90.00
_cell_angle_beta 108.62
_cell_angle_gamma 90.00
loop_
_space_group_symop_operation_xyz
'x,y,z'
loop_
_atom_site_label
_atom_site_fract_x
_atom_site_fract_y
_atom_site_fract_z
Ru1 0.0000 0.0000 0.0000
Se1 0.5000 0.0000 0.0000
Br1 0.1256 0.5000 0.2520
Br2 0.8744 0.5000 0.7480
```

- total magnetization (μB/atom) = 0.000
- calculated total energy (eV per cell) = -16.3
- polymorph energy (0 for the lowest one) (meV per atom) = 130
- E_form (uncorrected) (eV/atom) = -0.06

---

[5]
The following is a GGA-PBE calculation of a relaxed structure of LiNpTi2O8, from Alexandria via LeMat-Bulk.

The structure in CIF format:
```
data_LiNpTi2O8
_space_group_name_H-M_alt 'P 1'
_space_group_IT_number 1
_cell_length_a 4.8336
_cell_length_b 4.8336
_cell_length_c 6.0598
_cell_angle_alpha 91.04
_cell_angle_beta 91.04
_cell_angle_gamma 90.43
loop_
_space_group_symop_operation_xyz
'x,y,z'
loop_
_atom_site_label
_atom_site_fract_x
_atom_site_fract_y
_atom_site_fract_z
Li1 0.0000 0.0000 0.0000
Np1 0.0000 0.0000 0.5000
Ti1 0.4793 0.4793 0.2301
Ti2 0.5207 0.5207 0.7699
O1 0.1987 0.1987 0.7272
O2 0.2030 0.2030 0.2528
O3 0.3086 0.6914 0.5000
O4 0.3193 0.6807 0.0000
O5 0.6807 0.3193 0.0000
O6 0.6914 0.3086 0.5000
O7 0.7970 0.7970 0.7472
O8 0.8013 0.8013 0.2728
```

- total magnetization (μB/atom) = 0.000
- calculated total energy (eV per cell) = -102.5
- E_form (uncorrected) (eV/atom) = -2.68

---

[6]
The following is a GGA-PBE calculation of a relaxed structure of KZr2Ni, from Alexandria via LeMat-Bulk.

The structure in CIF format:
```
data_KZr2Ni
_space_group_name_H-M_alt 'P 1'
_space_group_IT_number 1
_cell_length_a 3.5599
_cell_length_b 3.5599
_cell_length_c 30.5911
_cell_angle_alpha 90.00
_cell_angle_beta 90.00
_cell_angle_gamma 120.00
loop_
_space_group_symop_operation_xyz
'x,y,z'
loop_
_atom_site_label
_atom_site_fract_x
_atom_site_fract_y
_atom_site_fract_z
K1 0.0000 0.0000 0.0000
K2 0.3333 0.6667 0.6667
K3 0.6667 0.3333 0.3333
Zr1 0.0000 0.0000 0.2162
Zr2 0.0000 0.0000 0.7838
Zr3 0.3333 0.6667 0.4504
Zr4 0.3333 0.6667 0.8829
Zr5 0.6667 0.3333 0.1171
Zr6 0.6667 0.3333 0.5496
Ni1 0.0000 0.0000 0.5000
Ni2 0.3333 0.6667 0.1667
Ni3 0.6667 0.3333 0.8333
```

- total magnetization (μB/atom) = 0.004
- calculated total energy (eV per cell) = -67.7
- polymorph energy (0 for the lowest one) (meV per atom) = 168
- formation energy (eV/f.u.) = 1.4